i.
Tl2RhSe: optimized geometry, PBE.

Unit cell a=4.5131 b=3.4137 c=6.7221 alpha=90.00 beta=109.52 gamma=90.00
Element x y z (fractional)
Tl: 0.0000 0.0000 0.0000
Tl: 0.3146 0.5000 0.6295
Rh: 0.7620 0.0000 0.5236
Se: 0.6219 0.5000 0.2453

---

ii.
Tl2RhSe: optimized geometry, PBE.

Unit cell a=4.3480 b=4.3480 c=9.4907 alpha=90.00 beta=90.00 gamma=90.00
Element x y z (fractional)
Tl: 0.0000 0.5000 0.2500
Tl: 0.0000 0.5000 0.7500
Tl: 0.5000 0.0000 0.2500
Tl: 0.5000 0.0000 0.7500
Rh: 0.0000 0.0000 0.0000
Rh: 0.5000 0.5000 0.5000
Se: 0.0000 0.0000 0.5000
Se: 0.5000 0.5000 0.0000

---

iii.
Tl2RhSe: optimized geometry, PBE.

Unit cell a=3.3458 b=4.4677 c=13.4795 alpha=90.00 beta=90.00 gamma=90.00
Element x y z (fractional)
Tl: 0.0000 0.0000 0.0000
Tl: 0.0000 0.5000 0.1920
Tl: 0.5000 0.0000 0.6920
Tl: 0.5000 0.5000 0.5000
Rh: 0.0000 0.5000 0.7451
Rh: 0.5000 0.0000 0.2451
Se: 0.0000 0.0000 0.3759
Se: 0.5000 0.5000 0.8759

---

iv.
Tl2RhSe: optimized geometry, PBE.

Unit cell a=4.9047 b=4.9047 c=3.6470 alpha=90.00 beta=90.00 gamma=90.00
Element x y z (fractional)
Tl: 0.0000 0.5000 0.0000
Tl: 0.5000 0.0000 0.0000
Rh: 0.0000 0.0000 0.5000
Se: 0.5000 0.5000 0.5000

---

Energies relative to the minimum, meV/atom: i 0; ii 419; iii 20; iv 354

---

i.
URhSe: optimized geometry, PBE.

Unit cell a=4.3216 b=4.3216 c=3.6104 alpha=90.00 beta=90.00 gamma=120.00
Element x y z (fractional)
U: 0.0000 0.0000 0.0000
Rh: 0.3333 0.6667 0.5000
Se: 0.6667 0.3333 0.5000

---

ii.
URhSe: optimized geometry, PBE.

Unit cell a=3.6932 b=3.6932 c=8.9574 alpha=90.00 beta=90.00 gamma=90.00
Element x y z (fractional)
U: 0.2500 0.2500 0.2339
U: 0.7500 0.7500 0.7661
Rh: 0.2500 0.2500 0.9261
Rh: 0.7500 0.7500 0.0739
Se: 0.2500 0.2500 0.6241
Se: 0.7500 0.7500 0.3759

---

Energies relative to the minimum, meV/atom: i 70; ii 0

---

i.
VRhSe2: optimized geometry, PBE.

Unit cell a=6.2981 b=6.2981 c=6.2981 alpha=90.00 beta=90.00 gamma=90.00
Element x y z (fractional)
V: 0.0000 0.0000 0.0000
V: 0.0000 0.5000 0.5000
V: 0.5000 0.0000 0.5000
V: 0.5000 0.5000 0.0000
Rh: 0.0000 0.0000 0.5000
Rh: 0.0000 0.5000 0.0000
Rh: 0.5000 0.0000 0.0000
Rh: 0.5000 0.5000 0.5000
Se: 0.2500 0.2500 0.2500
Se: 0.2500 0.2500 0.7500
Se: 0.2500 0.7500 0.2500
Se: 0.2500 0.7500 0.7500
Se: 0.7500 0.2500 0.2500
Se: 0.7500 0.2500 0.7500
Se: 0.7500 0.7500 0.2500
Se: 0.7500 0.7500 0.7500

---

ii.
VRhSe2: optimized geometry, PBE.

Unit cell a=5.5532 b=5.5532 c=11.3530 alpha=90.00 beta=90.00 gamma=90.00
Element x y z (fractional)
V: 0.0000 0.0000 0.0000
V: 0.0000 0.5000 0.2500
V: 0.5000 0.0000 0.7500
V: 0.5000 0.5000 0.5000
Rh: 0.0000 0.0000 0.5000
Rh: 0.0000 0.5000 0.7500
Rh: 0.5000 0.0000 0.2500
Rh: 0.5000 0.5000 0.0000
Se: 0.2448 0.2500 0.1250
Se: 0.2500 0.7448 0.3750
Se: 0.2500 0.7552 0.8750
Se: 0.2552 0.2500 0.6250
Se: 0.7448 0.7500 0.6250
Se: 0.7500 0.2448 0.8750
Se: 0.7500 0.2552 0.3750
Se: 0.7552 0.7500 0.1250

---

iii.
VRhSe2: optimized geometry, PBE.

Unit cell a=3.6344 b=3.6344 c=23.0315 alpha=90.00 beta=90.00 gamma=120.00
Element x y z (fractional)
V: 0.0000 0.0000 0.0000
V: 0.3333 0.6667 0.6667
V: 0.6667 0.3333 0.3333
Rh: 0.0000 0.0000 0.5000
Rh: 0.3333 0.6667 0.1667
Rh: 0.6667 0.3333 0.8333
Se: 0.0000 0.0000 0.1078
Se: 0.0000 0.0000 0.8922
Se: 0.3333 0.6667 0.5589
Se: 0.3333 0.6667 0.7744
Se: 0.6667 0.3333 0.2256
Se: 0.6667 0.3333 0.4411

---

iv.
VRhSe2: optimized geometry, PBE.

Unit cell a=3.1641 b=3.1641 c=24.1993 alpha=90.00 beta=90.00 gamma=120.00
Element x y z (fractional)
V: 0.0000 0.0000 0.0000
V: 0.3333 0.6667 0.6667
V: 0.6667 0.3333 0.3333
Rh: 0.0000 0.0000 0.5000
Rh: 0.3333 0.6667 0.1667
Rh: 0.6667 0.3333 0.8333
Se: 0.0000 0.0000 0.4013
Se: 0.0000 0.0000 0.5987
Se: 0.3333 0.6667 0.0680
Se: 0.3333 0.6667 0.2653
Se: 0.6667 0.3333 0.7347
Se: 0.6667 0.3333 0.9320

---

Energies relative to the minimum, meV/atom: i 167; ii 63; iii 344; iv 0